#a
The following is a DFT calculation (PBE-GGA) of an optimized crystal structure of Gd2PuH.

abc: 3.2823 3.2823 8.4216
angles: 90.00 90.00 90.00
Sites, in units of the cell vectors:
Pu: 0.5000 0.5000 0.5000
H: 0.5000 0.5000 0.0000
Gd: 0.0000 0.0000 0.8040
Gd: 0.0000 0.0000 0.1960

## Properties
**DOS at the Fermi energy**: 2.292 states/eV per atom
**Symmetry**: P4/mmm



#b
The following is a DFT calculation (PBE-GGA) of an optimized crystal structure of Gd2PuH.

abc: 3.5559 3.5559 8.7826
angles: 78.32 78.32 60.00
Sites, in units of the cell vectors:
Gd: 0.2774 0.2774 0.1678
Gd: 0.7226 0.7226 0.8322
H: 0.0000 0.0000 0.0000
Pu: 0.5000 0.5000 0.5000

## Properties
**DOS at the Fermi energy**: 2.271 states/eV per atom
**Symmetry**: R-3m



The structure with the most favorable energy is #b; the runner-up is 239 meV/atom above it.



#a
The following is a DFT calculation (PBE-GGA) of an optimized crystal structure of GdHRh.

abc: 4.9444 3.4718 5.7423
angles: 72.40 90.00 90.00
Sites, in units of the cell vectors:
Rh: 0.7500 0.8843 0.2313
Rh: 0.2500 0.1157 0.7687
H: 0.0000 0.0000 0.0000
H: 0.5000 0.0000 0.0000
Gd: 0.2500 0.3708 0.2584
Gd: 0.7500 0.6292 0.7416

## Properties
**DOS at the Fermi energy**: 0.303 states/eV per atom
**Symmetry**: Cmcm



#b
The following is a DFT calculation (PBE-GGA) of an optimized crystal structure of GdHRh.

abc: 3.6890 3.8176 3.8176
angles: 120.00 90.00 90.00
Sites, in units of the cell vectors:
Gd: 0.6666 0.3333 0.6667
Rh: 0.1665 0.0000 0.0000
H: 0.1669 0.6667 0.3333

## Properties
**DOS at the Fermi energy**: 0.493 states/eV per atom
**Symmetry**: P-6m2



The structure with the most favorable energy is #a; the runner-up is 171 meV/atom above it.



#a
The following is a DFT calculation (PBE-GGA) of an optimized crystal structure of Gd2HRh.

abc: 3.9251 3.9251 6.4718
angles: 72.35 72.35 60.00
Sites, in units of the cell vectors:
H: 0.0000 0.0000 0.0000
Rh: 0.5000 0.5000 0.5000
Gd: 0.7443 0.7443 0.7672
Gd: 0.2557 0.2557 0.2328

## Properties
**DOS at the Fermi energy**: 0.473 states/eV per atom
**Symmetry**: R-3m



#b
The following is a DFT calculation (PBE-GGA) of an optimized crystal structure of Gd2HRh.

abc: 3.2909 3.2909 7.0242
angles: 90.00 90.00 90.00
Sites, in units of the cell vectors:
Gd: 0.0000 0.0000 0.2460
Gd: 0.0000 0.0000 0.7540
Rh: 0.5000 0.5000 0.5000
H: 0.5000 0.5000 0.0000

## Properties
**DOS at the Fermi energy**: 0.955 states/eV per atom
**Symmetry**: P4/mmm



The structure with the most favorable energy is #a; the runner-up is 186 meV/atom above it.



#a
The following is a DFT calculation (PBE-GGA) of an optimized crystal structure of GdHRu.

abc: 3.2219 4.6098 6.1504
angles: 90.00 90.00 110.45
Sites, in units of the cell vectors:
Gd: 0.2755 0.5510 0.7500
Gd: 0.7245 0.4490 0.2500
H: 0.5406 0.0813 0.7500
H: 0.4594 0.9187 0.2500
Ru: 0.0000 0.0000 0.0000
Ru: 0.0000 0.0000 0.5000

## Properties
**DOS at the Fermi energy**: 0.383 states/eV per atom
**Symmetry**: Cmcm



#b
The following is a DFT calculation (PBE-GGA) of an optimized crystal structure of GdHRu.

abc: 4.4407 3.3721 3.3721
angles: 120.00 90.00 90.00
Sites, in units of the cell vectors:
H: 0.1680 0.6667 0.3333
Gd: 0.6659 0.3333 0.6667
Ru: 0.1661 0.0000 0.0000

## Properties
**DOS at the Fermi energy**: 0.581 states/eV per atom
**Symmetry**: P3m1



The structure with the most favorable energy is #a; the runner-up is 10 meV/atom above it.



#a
The following is a DFT calculation (PBE-GGA) of an optimized crystal structure of GdSbH.

abc: 3.2791 3.2791 6.0784
angles: 105.65 105.65 90.00
Sites, in units of the cell vectors:
Gd: 0.7200 0.7200 0.4401
H: 0.2747 0.2747 0.5494
Sb: 0.0053 0.0053 0.0105

## Properties
**DOS at the Fermi energy**: 0.395 states/eV per atom
**Symmetry**: I4mm



#b
The following is a DFT calculation (PBE-GGA) of an optimized crystal structure of GdSbH.

abc: 4.7314 3.7999 3.7999
angles: 120.00 90.00 90.00
Sites, in units of the cell vectors:
Sb: 0.6665 0.3333 0.6667
Gd: 0.1665 0.6667 0.3333
H: 0.1670 0.0000 0.0000

## Properties
**DOS at the Fermi energy**: 0.347 states/eV per atom
**Symmetry**: P-6m2



The structure with the most favorable energy is #b; the runner-up is 255 meV/atom above it.



#a
The following is a DFT calculation (PBE-GGA) of an optimized crystal structure of GdScH.

abc: 6.1653 3.4775 6.5350
angles: 57.85 89.08 90.01
Sites, in units of the cell vectors:
H: 0.4338 0.3850 0.8649
H: 0.5662 0.6150 0.1351
Sc: 0.4222 0.0138 0.2363
Sc: 0.5778 0.9862 0.7637
Gd: 0.9076 0.4970 0.2532
Gd: 0.0924 0.5030 0.7468

## Properties
**DOS at the Fermi energy**: 0.867 states/eV per atom
**Symmetry**: P2_1/m



#b
The following is a DFT calculation (PBE-GGA) of an optimized crystal structure of GdScH.

abc: 3.4637 3.4637 5.4412
angles: 90.00 90.00 120.00
Sites, in units of the cell vectors:
H: 0.3333 0.6667 0.6513
Gd: 0.0000 0.0000 0.9175
Sc: 0.6667 0.3333 0.4312

## Properties
**DOS at the Fermi energy**: 1.176 states/eV per atom
**Symmetry**: P3m1



The structure with the most favorable energy is #a; the runner-up is 92 meV/atom above it.



#a
The following is a DFT calculation (PBE-GGA) of an optimized crystal structure of TbGd2H.

abc: 3.6204 3.6204 8.8032
angles: 78.13 78.13 60.00
Sites, in units of the cell vectors:
H: 0.0000 0.0000 0.0000
Gd: 0.7215 0.7215 0.8355
Gd: 0.2785 0.2785 0.1645
Tb: 0.5000 0.5000 0.5000

## Properties
**DOS at the Fermi energy**: 1.007 states/eV per atom
**Symmetry**: R-3m



#b
The following is a DFT calculation (PBE-GGA) of an optimized crystal structure of TbGd2H.

abc: 3.3505 3.3505 8.5867
angles: 90.00 90.00 90.00
Sites, in units of the cell vectors:
Tb: 0.5000 0.5000 0.5000
H: 0.5000 0.5000 0.0000
Gd: 0.0000 0.0000 0.1868
Gd: 0.0000 0.0000 0.8132

## Properties
**DOS at the Fermi energy**: 1.082 states/eV per atom
**Symmetry**: P4/mmm



The structure with the most favorable energy is #a; the runner-up is 256 meV/atom above it.



#a
The following is a DFT calculation (PBE-GGA) of an optimized crystal structure of Gd2ThH.

abc: 3.3884 3.3884 8.5164
angles: 90.00 90.00 90.00
Sites, in units of the cell vectors:
Th: 0.5000 0.5000 0.5000
H: 0.5000 0.5000 0.0000
Gd: 0.0000 0.0000 0.1932
Gd: 0.0000 0.0000 0.8068

## Properties
**DOS at the Fermi energy**: 1.151 states/eV per atom
**Symmetry**: P4/mmm



#b
The following is a DFT calculation (PBE-GGA) of an optimized crystal structure of Gd2ThH.

abc: 3.6149 3.6149 8.7658
angles: 78.10 78.10 60.00
Sites, in units of the cell vectors:
Th: 0.5000 0.5000 0.5000
Gd: 0.2768 0.2768 0.1697
Gd: 0.7232 0.7232 0.8303
H: 0.0000 0.0000 0.0000

## Properties
**DOS at the Fermi energy**: 1.021 states/eV per atom
**Symmetry**: R-3m



The structure with the most favorable energy is #b; the runner-up is 272 meV/atom above it.